Sm2TlTe4 | Alexandria via LeMat-Bulk | PBE-GGA | optimized geometry; energy relative to the elements, uncorrected = -1.03 eV per atom; magnetization = 0.000 μB/atom; density of states at the Fermi level = 2.64 states/eV/f.u.; crystal system = tetragonal; E_tot = -63.22 eV for the cell shown
1.0
-4.638 4.638 6.566
4.638 -4.638 6.566
4.638 4.638 -6.566
Sm Tl Te
4 2 8
Direct
0.000 0.000 0.000
0.000 0.000 0.500
0.000 0.500 0.000
0.500 0.000 0.500
0.375 0.625 0.750
0.625 0.375 0.250
0.219 0.239 0.979
0.239 0.219 0.479
0.239 0.760 0.021
0.240 0.761 0.479
0.760 0.239 0.521
0.761 0.240 0.979
0.761 0.781 0.521
0.781 0.761 0.021


LiSbPt2 | Alexandria via LeMat-Bulk | PBE-GGA | optimized geometry; energy relative to the elements, uncorrected = -0.52 eV per atom; magnetization = 0.000 μB/atom; density of states at the Fermi level = 1.76 states/eV/f.u.; crystal system = tetragonal; E_tot = -20.20 eV for the cell shown
1.0
-2.043 2.043 3.896
2.043 -2.043 3.896
2.043 2.043 -3.896
Li Sb Pt
1 1 2
Direct
0.000 0.000 0.000
0.500 0.500 0.000
0.250 0.750 0.500
0.750 0.250 0.500


Tb4Pr3Th2 | Alexandria via LeMat-Bulk | PBE-GGA | optimized geometry; magnetization = 0.000 μB/atom; density of states at the Fermi level = 12.49 states/eV/f.u.; crystal system = monoclinic; E_tot = -47.51 eV for the cell shown; DFT formation energy = 0.02 eV per atom
1.0
9.484 -1.822 0.000
9.484 1.822 0.000
-4.204 0.000 8.716
Tb Pr Th
4 3 2
Direct
0.017 0.017 0.329
0.316 0.316 0.672
0.684 0.684 0.328
0.983 0.983 0.671
0.351 0.351 0.329
0.500 0.500 0.000
0.649 0.649 0.671
0.169 0.169 0.003
0.831 0.831 0.997


PaAg5S5 | Alexandria via LeMat-Bulk | PBE-GGA | optimized geometry; energy relative to the elements, uncorrected = -0.48 eV per atom; magnetization = 0.000 μB/atom; crystal system = monoclinic; E_tot = -49.63 eV for the cell shown
1.0
6.174 -2.698 0.000
6.174 2.698 0.000
-4.222 0.000 7.268
Pa Ag S
1 5 5
Direct
0.000 0.000 0.000
0.000 0.000 0.500
0.297 0.297 0.672
0.363 0.363 0.166
0.637 0.637 0.834
0.703 0.703 0.328
0.131 0.131 0.824
0.217 0.217 0.316
0.500 0.500 0.000
0.783 0.783 0.684
0.869 0.869 0.176


LiErUS3 | Alexandria via LeMat-Bulk | PBE-GGA | optimized geometry; energy relative to the elements, uncorrected = -1.51 eV per atom; magnetization = 0.519 μB/atom; density of states at the Fermi level = 6.85 states/eV/f.u.; crystal system = monoclinic; E_tot = -78.47 eV for the cell shown
1.0
8.039 0.000 0.000
0.000 3.736 0.000
-1.923 0.000 8.116
Li Er U S
2 2 2 6
Direct
0.088 0.250 0.079
0.912 0.750 0.921
0.337 0.750 0.335
0.663 0.250 0.665
0.175 0.250 0.707
0.825 0.750 0.293
0.098 0.250 0.361
0.219 0.750 0.988
0.425 0.750 0.672
0.575 0.250 0.328
0.781 0.250 0.012
0.902 0.750 0.639


Li6Cd3Ge | Alexandria via LeMat-Bulk | PBE-GGA | optimized geometry; relative energy among the computed polymorphs = 0.159 eV per atom; magnetization = 0.000 μB/atom; density of states at the Fermi level = 2.55 states/eV/f.u.; crystal system = trigonal; E_tot = -19.78 eV for the cell shown; DFT formation energy = -0.09 eV per atom
1.0
5.738 3.313 1.688
-5.738 3.313 1.688
0.000 -6.625 1.688
Li Cd Ge
6 3 1
Direct
0.091 0.454 0.454
0.454 0.091 0.454
0.454 0.454 0.091
0.647 0.647 0.879
0.647 0.879 0.647
0.879 0.647 0.647
0.013 0.013 0.484
0.013 0.484 0.013
0.484 0.013 0.013
0.190 0.190 0.190


Y2Hf2MgPd5 | Alexandria via LeMat-Bulk | PBE-GGA | optimized geometry; magnetization = 0.000 μB/atom; density of states at the Fermi level = 7.13 states/eV/f.u.; crystal system = tetragonal; E_tot = -131.73 eV for the cell shown; DFT formation energy = -0.55 eV per atom
1.0
10.827 0.000 0.000
0.000 10.827 0.000
0.000 0.000 3.444
Y Hf Mg Pd
4 4 2 10
Direct
0.167 0.333 0.000
0.333 0.833 0.000
0.667 0.167 0.000
0.833 0.667 0.000
0.136 0.636 0.000
0.364 0.136 0.000
0.636 0.864 0.000
0.864 0.364 0.000
0.000 0.000 0.000
0.500 0.500 0.000
0.000 0.500 0.500
0.044 0.804 0.500
0.196 0.044 0.500
0.304 0.544 0.500
0.456 0.304 0.500
0.500 0.000 0.500
0.544 0.696 0.500
0.696 0.456 0.500
0.804 0.956 0.500
0.956 0.196 0.500


PmPrHo2Sb4 | Alexandria via LeMat-Bulk | PBE-GGA | optimized geometry; energy relative to the elements, uncorrected = -1.15 eV per atom; magnetization = 0.000 μB/atom; density of states at the Fermi level = 1.07 states/eV/f.u.; crystal system = monoclinic; E_tot = -44.35 eV for the cell shown
1.0
7.696 0.000 0.000
0.000 4.452 0.000
-2.573 0.000 7.264
Pm Pr Ho Sb
1 1 2 4
Direct
0.000 0.000 0.000
0.000 0.500 0.500
0.500 0.000 0.500
0.500 0.500 0.000
0.260 0.500 0.251
0.261 0.000 0.755
0.739 0.000 0.245
0.740 0.500 0.749


Nb3NiAg | Alexandria via LeMat-Bulk | PBE-GGA | optimized geometry; relative energy among the computed polymorphs = 1.255 eV per atom; magnetization = 0.000 μB/atom; density of states at the Fermi level = 9.13 states/eV/f.u.; crystal system = cubic; E_tot = -28.22 eV for the cell shown; DFT formation energy = 2.12 eV per atom
1.0
4.883 0.000 0.000
0.000 4.883 0.000
0.000 0.000 4.883
Nb Ni Ag
3 1 1
Direct
0.000 0.000 0.500
0.000 0.500 0.000
0.500 0.000 0.000
0.500 0.500 0.500
0.000 0.000 0.000